No. 1
{"formula": "LiSc4Si", "functional": "SCAN", "state": "single point on PBEsol structure", "lattice_angstrom": [[-4.4024, 3.1846, -1.5790], [-2.2006, -0.5839, -5.1800], [-5.1033, -2.3538, -0.6569]], "species": ["Sc", "Sc", "Si", "Li", "Sc", "Sc"], "frac_coords": [[0.8717, 0.3761, 0.3761], [0.3761, 0.3761, 0.8717], [0.7500, 0.7500, 0.7500], [0.0000, 0.0000, 0.0000], [0.3761, 0.3761, 0.3761], [0.3761, 0.8717, 0.3761]], "formation_energy_uncorrected_mev_per_atom": 431}

=====

No. 2
{"formula": "SiP3", "functional": "SCAN", "state": "single point on PBEsol structure", "lattice_angstrom": [[3.3685, 0.0000, 0.0000], [0.0000, 3.7863, 0.0000], [-1.6843, -1.8932, 4.7167]], "species": ["P", "Si", "P", "P"], "frac_coords": [[0.5000, 0.0000, 0.0000], [0.0000, 0.5000, 0.0000], [0.6848, 0.6848, 0.3696], [0.3152, 0.3152, 0.6304]], "formation_energy_uncorrected_mev_per_atom": 613}

=====

No. 3
{"formula": "FeSbPt", "functional": "SCAN", "state": "single point on PBEsol structure", "lattice_angstrom": [[-0.7229, 3.7591, 1.6887], [-3.5948, 1.9907, -0.7872], [-2.8636, 0.4204, 3.0213]], "species": ["Fe", "Pt", "Sb"], "frac_coords": [[0.2500, 0.2500, 0.2500], [0.0000, 0.0000, 0.0000], [0.5000, 0.5000, 0.5000]], "formation_energy_uncorrected_mev_per_atom": -86}